Below is crystalline PmErTlPt at its relaxed geometry, with properties calculated at the PBE level.

Cell: 5.1970 5.1970 5.1970 Å, 60.00 60.00 60.00°
Element x y z (fractional)
1 Tl 0.2500 0.2500 0.2500
2 Pm 0.0000 0.0000 0.0000
3 Pt 0.7500 0.7500 0.7500
4 Er 0.5000 0.5000 0.5000

Properties
- total DFT energy (no corrections) (eV per atom) = -5.0881
- symmetry = No. 216
- ΔE_f (eV per atom) = -0.658